Entry 1:
Density functional theory data (PBE-GGA) for a geometry-optimized In2GeOsN structure.

Cell lengths 5.4143, 5.4143, 3.6972 Å; angles 90.00, 90.00, 90.00 degrees
Last column: nearest neighbours and their distance in Å.
Space group P4/mmm (No. 123)
Symmetry-distinct sites (fractional):
In 0.0000 0.5000 0.0000  2 Os 2.71
Ge 0.0000 0.0000 0.5000  8 In 3.28
Os 0.5000 0.5000 0.0000  2 N 1.85
N 0.5000 0.5000 0.5000  2 Os 1.85

Results
Uncorrected formation energy (eV per formula unit): 2.29
Total moment (μB/f.u.): 0.0

***

Entry 2:
Density functional theory data (PBE-GGA) for a geometry-optimized TaMn2Cr structure.

Cell lengths 2.7766, 2.7766, 25.0154 Å; angles 90.00, 90.00, 120.00 degrees
Last column: nearest neighbours and their distance in Å.
Space group R3m (No. 160, hexagonal axes)
Symmetry-distinct sites (fractional):
Ta 0.0000 0.0000 0.0000  6 Ta 2.78, 3 Mn 2.78, 3 Cr 2.82
Mn 0.0000 0.0000 0.2427  9 Mn 2.59-2.78, 3 Ta 2.78
Mn 0.0000 0.0000 0.4948  3 Cr 2.35, 3 Mn 2.59
Cr 0.0000 0.0000 0.7592  3 Mn 2.35

Results
Formation energy from the elements (eV per atom): 0.36
Total moment (μB/f.u.): 2.9

***

Entry 3:
Density functional theory data (PBE-GGA) for a geometry-optimized Er4GeTe2C structure.

Cell lengths 7.0202, 3.9759, 7.3541 Å; angles 90.00, 108.20, 90.00 degrees
Last column: nearest neighbours and their distance in Å.
Space group P2/m (No. 10)
Symmetry-distinct sites (fractional):
Er 0.2131 0.0000 0.1954  2 C 2.63, 1 Ge 2.82
Er 0.2380 0.5000 0.7952  1 C 2.57, 2 Ge 2.81
Ge 0.5000 0.0000 0.0000  6 Er 2.81-2.82
Te 0.0000 0.0000 0.5000  6 Er 3.03-3.06
Te 0.5000 0.5000 0.5000  6 Er 3.19-3.25
C 0.0000 0.5000 0.0000  6 Er 2.57-2.63

Results
Uncorrected formation energy (eV per formula unit): -7.68
Total moment (μB/f.u.): 0.0

***

Entry 4:
Density functional theory data (PBE-GGA) for a geometry-optimized NbCd2Pd structure.

Cell lengths 2.9223, 2.9223, 31.7136 Å; angles 90.00, 90.00, 120.00 degrees
Last column: nearest neighbours and their distance in Å.
Space group R-3m (No. 166, hexagonal axes)
Symmetry-distinct sites (fractional):
Nb 0.0000 0.0000 0.0000  6 Nb 2.92, 2 Cd 2.98
Cd 0.0000 0.0000 0.0938  3 Pd 2.86, 6 Cd 2.92, 1 Nb 2.98
Pd 0.0000 0.0000 0.5000  6 Cd 2.86, 6 Pd 2.92

Results
Formation energy from the elements (eV per atom): 0.25
Total moment (μB/f.u.): 0.0

***

Entry 5:
Density functional theory data (PBE-GGA) for a geometry-optimized BaFeTe2 structure.

Cell lengths 7.7076, 7.7268, 4.0927 Å; angles 90.00, 90.00, 90.00 degrees
Last column: nearest neighbours and their distance in Å.
Space group Cmmm (No. 65)
Symmetry-distinct sites (fractional):
Ba 0.0000 0.0000 0.0000  8 Te 3.41
Fe 0.0000 0.5000 0.0000  8 Te 3.41
Te 0.2500 0.2500 0.5000  4 Ba 3.41, 4 Fe 3.41

Results
Uncorrected formation energy (eV per formula unit): -0.71
Total moment (μB/f.u.): 3.3

***

Entry 6:
Density functional theory data (PBE-GGA) for a geometry-optimized BaSc4In structure.

Cell lengths 8.8457, 8.8457, 8.8457 Å; angles 90.00, 90.00, 90.00 degrees
Last column: nearest neighbours and their distance in Å.
Space group F-43m (No. 216)
Symmetry-distinct sites (fractional):
Ba 0.0000 0.0000 0.0000  12 Sc 3.67, 4 In 3.83
Sc 0.1235 0.1235 0.3765  6 Sc 3.09-3.16
In 0.2500 0.2500 0.7500  12 Sc 3.66, 4 Ba 3.83

Results
Formation energy from the elements (eV per atom): 0.22
Total moment (μB/f.u.): 0.0

***

Entry 7:
Density functional theory data (PBE-GGA) for a geometry-optimized ZrNpCd structure.

Cell lengths 9.5964, 3.3713, 8.9732 Å; angles 90.00, 94.74, 90.00 degrees
Last column: nearest neighbours and their distance in Å.
Space group C2/m (No. 12)
Symmetry-distinct sites (fractional):
Zr 0.1289 0.0000 0.2441  1 Np 2.54
Np 0.1678 0.0000 0.9671  2 Np 2.35, 1 Zr 2.54
Cd 0.1371 0.0000 0.5904  3 Cd 2.97-3.28, 4 Zr 3.06-3.10

Results
Formation energy from the elements (eV per atom): 0.39
Total moment (μB/f.u.): 0.1

***

Entry 8:
Density functional theory data (PBE-GGA) for a geometry-optimized CaTmPdPt structure.

Cell lengths 6.9319, 6.9319, 6.9319 Å; angles 90.00, 90.00, 90.00 degrees
Last column: nearest neighbours and their distance in Å.
Space group F-43m (No. 216)
Symmetry-distinct sites (fractional):
Ca 0.0000 0.0000 0.0000  4 Pd 3.00, 4 Pt 3.00
Tm 0.0000 0.0000 0.5000  4 Pt 3.00, 4 Pd 3.00
Pd 0.2500 0.2500 0.7500  4 Ca 3.00, 4 Tm 3.00
Pt 0.2500 0.2500 0.2500  4 Ca 3.00, 4 Tm 3.00

Results
Formation energy from the elements (eV per atom): -0.95
Total moment (μB/f.u.): 0.0
Distance to the lowest polymorph of the same formula (meV per atom): 21

***

Entry 9:
Density functional theory data (PBE-GGA) for a geometry-optimized Sm4TlSnO structure.

Cell lengths 6.6289, 17.3471, 6.6200 Å; angles 90.00, 90.00, 90.00 degrees
Last column: nearest neighbours and their distance in Å.
Space group Cmcm (No. 63)
Symmetry-distinct sites (fractional):
Sm 0.0000 0.0678 0.2500  3 Tl 3.13-3.40, 2 Sn 3.40
Sm 0.0000 0.4192 0.2500  1 O 2.48
Sm 0.2500 0.2500 0.0000  2 O 2.39
Tl 0.0000 0.1126 0.7500  9 Sm 3.13-3.40
Sn 0.0000 0.3895 0.7500  9 Sm 3.32-3.40
O 0.0000 0.2761 0.2500  5 Sm 2.39-2.48

Results
Uncorrected formation energy (eV per formula unit): -8.12
Total moment (μB/f.u.): 0.0

***

Entry 10:
Density functional theory data (PBE-GGA) for a geometry-optimized Cs2RbBCl6 structure.

Cell lengths 7.3684, 7.3684, 11.4758 Å; angles 90.00, 90.00, 90.00 degrees
Last column: nearest neighbours and their distance in Å.
Space group I4/mmm (No. 139)
Symmetry-distinct sites (fractional):
Cs 0.0000 0.5000 0.2500  12 Cl 3.69-3.92
Rb 0.0000 0.0000 0.0000  6 Cl 3.14-3.17
B 0.0000 0.0000 0.5000  4 Cl 2.04
Cl 0.0000 0.0000 0.2738  1 B 2.60
Cl 0.1956 0.1956 0.5000  1 B 2.04

Results
Uncorrected formation energy (eV per formula unit): -12.40
Total moment (μB/f.u.): 0.0

***

Entry 11:
Density functional theory data (PBE-GGA) for a geometry-optimized LiZrIn structure.

Cell lengths 6.1205, 4.4360, 8.7381 Å; angles 90.00, 90.00, 90.00 degrees
Last column: nearest neighbours and their distance in Å.
Space group Pnma (No. 62)
Symmetry-distinct sites (fractional):
Li 0.1577 0.2500 0.0953  3 In 2.82-2.89, 5 Zr 2.87-3.10
Zr 0.1634 0.2500 0.4288  5 Li 2.87-3.10, 5 In 3.08-3.14
In 0.0561 0.2500 0.7729  3 Li 2.82-2.89, 5 Zr 3.08-3.14, 2 In 3.09

Results
Formation energy from the elements (eV per atom): -0.11
Total moment (μB/f.u.): 0.0
Distance to the lowest polymorph of the same formula (meV per atom): 109

***

Entry 12:
Density functional theory data (PBE-GGA) for a geometry-optimized CdReRu2I structure.

Cell lengths 4.7816, 4.7816, 5.2659 Å; angles 90.00, 90.00, 90.00 degrees
Last column: nearest neighbours and their distance in Å.
Space group P4/mmm (No. 123)
Symmetry-distinct sites (fractional):
Cd 0.0000 0.0000 0.0000  2 I 2.63
Re 0.5000 0.5000 0.0000  4 Cd 3.38, 8 Ru 3.56
Ru 0.0000 0.5000 0.5000  2 I 2.39
I 0.0000 0.0000 0.5000  4 Ru 2.39, 2 Cd 2.63

Results
Uncorrected formation energy (eV per formula unit): 12.14
Total moment (μB/f.u.): 4.5

***

Entry 13:
Density functional theory data (PBE-GGA) for a geometry-optimized CdSO2F structure.

Cell lengths 4.2605, 4.2605, 4.2131 Å; angles 90.00, 90.00, 90.00 degrees
Last column: nearest neighbours and their distance in Å.
Space group P4/mmm (No. 123)
Symmetry-distinct sites (fractional):
Cd 0.0000 0.0000 0.0000  2 F 2.11, 4 O 2.13
S 0.5000 0.5000 0.5000  8 O 3.00, 4 F 3.01
O 0.0000 0.5000 0.0000  2 Cd 2.13
F 0.0000 0.0000 0.5000  2 Cd 2.11

Results
Uncorrected formation energy (eV per formula unit): 1.75
Total moment (μB/f.u.): 2.1

***

Entry 14:
Density functional theory data (PBE-GGA) for a geometry-optimized ScReOs2 structure.

Cell lengths 3.8701, 3.8701, 8.3470 Å; angles 90.00, 90.00, 90.00 degrees
Last column: nearest neighbours and their distance in Å.
Space group I-4m2 (No. 119)
Symmetry-distinct sites (fractional):
Sc 0.0000 0.0000 0.0000  8 Os 2.74-2.85, 4 Re 2.85
Re 0.0000 0.5000 0.2500  8 Os 2.74-2.85, 4 Sc 2.85
Os 0.0000 0.0000 0.5000  4 Sc 2.74, 4 Re 2.85, 4 Os 2.85
Os 0.0000 0.5000 0.7500  4 Re 2.74, 4 Os 2.85, 4 Sc 2.85

Results
Formation energy from the elements (eV per atom): 0.14
Total moment (μB/f.u.): 0.0

***

Entry 15:
Density functional theory data (PBE-GGA) for a geometry-optimized Ce2ScTi structure.

Cell lengths 3.1310, 3.1310, 9.7684 Å; angles 90.00, 90.00, 90.00 degrees
Last column: nearest neighbours and their distance in Å.
Space group P4/mmm (No. 123)
Symmetry-distinct sites (fractional):
Ce 0.0000 0.0000 0.2336  4 Ce 3.13, 4 Ti 3.18, 4 Sc 3.42
Sc 0.5000 0.5000 0.5000  4 Sc 3.13, 8 Ce 3.42
Ti 0.5000 0.5000 0.0000  4 Ti 3.13, 8 Ce 3.18

Results
Formation energy from the elements (eV per atom): 0.15
Total moment (μB/f.u.): 0.0
Distance to the lowest polymorph of the same formula (meV per atom): 0

***

Entry 16:
Density functional theory data (PBE-GGA) for a geometry-optimized K3Ga3Pt2 structure.

Cell lengths 8.7398, 14.6989, 6.4767 Å; angles 90.00, 90.00, 90.00 degrees
Last column: nearest neighbours and their distance in Å.
Space group Pnma (No. 62)
Symmetry-distinct sites (fractional):
K 0.0454 0.1139 0.1094  5 Ga 3.34-3.66, 4 Pt 3.35-3.56, 2 K 3.48-3.72
K 0.2354 0.2500 0.5276  4 Ga 3.15-3.23, 2 K 3.48
Ga 0.1251 0.7500 0.4777  2 Pt 2.48
Ga 0.1706 0.0399 0.6464  3 Pt 2.55-2.57
Pt 0.1117 0.5864 0.3867  4 Ga 2.48-2.57

Results
Formation energy from the elements (eV per atom): -0.35
Total moment (μB/f.u.): 0.0

***

Entry 17:
Density functional theory data (PBE-GGA) for a geometry-optimized K6GaPb2 structure.

Cell lengths 6.3642, 6.3642, 33.9807 Å; angles 90.00, 90.00, 120.00 degrees
Last column: nearest neighbours and their distance in Å.
Space group R-3m (No. 166, hexagonal axes)
Symmetry-distinct sites (fractional):
K 0.0000 0.0000 0.0750  3 Pb 3.70, 4 K 4.08-4.10
K 0.0000 0.0000 0.1958  3 Ga 3.81, 8 K 3.89-4.24, 3 Pb 4.06
K 0.0000 0.0000 0.3102  1 Pb 3.73, 7 K 3.89-4.08
Ga 0.0000 0.0000 0.5000  2 Pb 2.72
Pb 0.0000 0.0000 0.4200  1 Ga 2.72

Results
Formation energy from the elements (eV per atom): -0.12
Total moment (μB/f.u.): 0.0

***

Entry 18:
Density functional theory data (PBE-GGA) for a geometry-optimized Y2ReOsO structure.

Cell lengths 5.5344, 5.5344, 3.6524 Å; angles 90.00, 90.00, 90.00 degrees
Last column: nearest neighbours and their distance in Å.
Space group P4/mmm (No. 123)
Symmetry-distinct sites (fractional):
Y 0.0000 0.5000 0.0000  2 Os 2.77
Re 0.0000 0.0000 0.5000  8 Y 3.32, 2 Re 3.65
Os 0.5000 0.5000 0.0000  2 O 1.83
O 0.5000 0.5000 0.5000  2 Os 1.83

Results
Uncorrected formation energy (eV per formula unit): 1.87
Total moment (μB/f.u.): 1.6

***

Entry 19:
Density functional theory data (PBE-GGA) for a geometry-optimized TlAs2F8 structure.

Cell lengths 11.1260, 7.5267, 4.8516 Å; angles 90.00, 108.25, 90.00 degrees
Last column: nearest neighbours and their distance in Å.
Space group C2/m (No. 12)
Symmetry-distinct sites (fractional):
Tl 0.0000 0.0000 0.0000  6 F 2.42-2.66
As 0.1604 0.5000 0.2679  4 F 1.80-1.97
F 0.0977 0.5000 0.8783  1 As 1.80
F 0.1390 0.2404 0.2360  1 As 1.97
F 0.1782 0.0000 0.7397  1 As 1.81

Results
Uncorrected formation energy (eV per formula unit): -21.73
Total moment (μB/f.u.): 0.0

***

Entry 20:
Density functional theory data (PBE-GGA) for a geometry-optimized CsBa3W structure.

Cell lengths 6.3849, 6.3849, 6.3849 Å; angles 90.00, 90.00, 90.00 degrees
Last column: nearest neighbours and their distance in Å.
Space group Pm-3m (No. 221)
Symmetry-distinct sites (fractional):
Cs 0.0000 0.0000 0.0000  12 Ba 4.51
Ba 0.0000 0.5000 0.5000  2 W 3.19
W 0.5000 0.5000 0.5000  6 Ba 3.19

Results
Formation energy from the elements (eV per atom): 0.88
Total moment (μB/f.u.): 0.0

***

Entry 21:
Density functional theory data (PBE-GGA) for a geometry-optimized Tb6As2Se3Cl structure.

Cell lengths 17.9236, 4.1050, 8.2101 Å; angles 90.00, 102.91, 90.00 degrees
Last column: nearest neighbours and their distance in Å.
Space group C2/m (No. 12)
Symmetry-distinct sites (fractional):
Tb 0.0046 0.0000 0.2714  3 Se 2.79-2.88, 1 As 2.82, 2 Cl 3.02
Tb 0.1698 0.5000 0.5785  3 As 2.88, 3 Se 2.97
Tb 0.1775 0.5000 0.0971  3 Se 2.84-2.94, 2 As 2.85, 1 Cl 3.10
As 0.1655 0.0000 0.3303  6 Tb 2.82-2.88
Se 0.0000 0.5000 0.5000  6 Tb 2.79-2.97
Se 0.1601 0.0000 0.8345  6 Tb 2.84-2.97
Cl 0.0000 0.5000 0.0000  6 Tb 3.02-3.10

Results
Uncorrected formation energy (eV per formula unit): -19.72
Total moment (μB/f.u.): 0.0

***

Entry 22:
Density functional theory data (PBE-GGA) for a geometry-optimized LiTbGdRe structure.

Cell lengths 6.9926, 6.9926, 6.9926 Å; angles 90.00, 90.00, 90.00 degrees
Last column: nearest neighbours and their distance in Å.
Space group F-43m (No. 216)
Symmetry-distinct sites (fractional):
Li 0.0000 0.0000 0.0000  4 Gd 3.03, 4 Tb 3.03
Tb 0.2500 0.2500 0.2500  4 Li 3.03, 4 Re 3.03
Gd 0.2500 0.2500 0.7500  4 Li 3.03, 4 Re 3.03
Re 0.0000 0.0000 0.5000  4 Gd 3.03, 4 Tb 3.03

Results
Formation energy from the elements (eV per atom): 0.08
Total moment (μB/f.u.): 7.1